# 1
This record from Alexandria via LeMat-Bulk describes crystalline Pm4Nd4Y3 at its relaxed geometry. The functional is GGA-PBE.

Cell: 12.0867 12.0867 12.0867 Å, 162.44 133.35 50.22°
Fractional coordinates of all 11 atoms:
Pm 0.1848 0.0000 0.1848
Pm 0.2393 0.2393 0.0000
Pm 0.7607 0.7607 0.0000
Pm 0.8152 0.0000 0.8152
Nd 0.1812 0.8567 0.3245
Nd 0.4678 0.1433 0.3245
Nd 0.5322 0.8567 0.6755
Nd 0.8188 0.1433 0.6755
Y 0.1072 0.6072 0.5000
Y 0.5000 0.5000 0.0000
Y 0.8928 0.3928 0.5000

Calculated values
symmetry = No. 71
final energy = -56.12 eV/cell
formation energy from the elements = 0.122 eV/atom
distance to the lowest polymorph of the same formula = 76.1 meV per atom
DOS at the Fermi energy = 17.9 states/eV per cell

---

# 2
This record from Alexandria via LeMat-Bulk describes crystalline TiAlOs2 at its relaxed geometry. The functional is GGA-PBE.

Cell: 5.5484 5.5484 5.5484 Å, 104.07 104.07 120.92°
Fractional coordinates of all 8 atoms:
Ti 0.0000 0.0000 0.0000
Ti 0.7500 0.2500 0.5000
Al 0.2500 0.7500 0.5000
Al 0.5000 0.5000 0.0000
Os 0.1213 0.6250 0.9963
Os 0.3750 0.3713 0.4963
Os 0.6287 0.1250 0.0037
Os 0.8750 0.8787 0.5037

Calculated values
symmetry = No. 122
final energy = -65.06 eV/cell
formation energy from the elements = 0.391 eV/atom
DOS at the Fermi energy = 8.8 states/eV per cell

---

# 3
This record from Alexandria via LeMat-Bulk describes crystalline CdHg2Ir at its relaxed geometry. The functional is GGA-PBE.

Cell: 10.2386 10.2386 10.2386 Å, 17.11 17.11 17.11°
Fractional coordinates of all 4 atoms:
Cd 0.0000 0.0000 0.0000
Hg 0.5181 0.5181 0.5181
Hg 0.7567 0.7567 0.7567
Ir 0.2609 0.2609 0.2609

Calculated values
symmetry = No. 160
final energy = -9.06 eV/cell
formation energy from the elements = 0.330 eV/atom
distance to the lowest polymorph of the same formula = 129.4 meV per atom
DOS at the Fermi energy = 3.3 states/eV per cell

---

# 4
This record from Alexandria via LeMat-Bulk describes crystalline Er7In2Cu2 at its relaxed geometry. The functional is GGA-PBE.

Cell: 6.8243 6.8243 6.9300 Å, 90.00 90.00 108.30°
Fractional coordinates of all 11 atoms:
Er 0.0000 0.0000 0.0000
Er 0.0000 0.5000 0.2529
Er 0.0000 0.5000 0.7471
Er 0.5000 0.0000 0.2529
Er 0.5000 0.0000 0.7471
Er 0.5000 0.5000 0.2409
Er 0.5000 0.5000 0.7591
In 0.1759 0.1759 0.5000
In 0.8241 0.8241 0.5000
Cu 0.2942 0.7058 0.0000
Cu 0.7058 0.2942 0.0000

Calculated values
symmetry = No. 65
final energy = -46.50 eV/cell
formation energy from the elements = -0.081 eV/atom
DOS at the Fermi energy = 10.4 states/eV per cell

---

# 5
This record from Alexandria via LeMat-Bulk describes crystalline Ti3Zn2Tc at its relaxed geometry. The functional is GGA-PBE.

Cell: 7.0086 7.0086 6.2614 Å, 90.00 90.00 143.06°
Fractional coordinates of all 12 atoms:
Ti 0.0000 0.0000 0.2451
Ti 0.0000 0.0000 0.7549
Ti 0.3295 0.6705 0.2396
Ti 0.3295 0.6705 0.7604
Ti 0.6705 0.3295 0.2396
Ti 0.6705 0.3295 0.7604
Zn 0.1652 0.8348 0.5000
Zn 0.5000 0.5000 0.0000
Zn 0.5000 0.5000 0.5000
Zn 0.8348 0.1652 0.5000
Tc 0.1632 0.8368 0.0000
Tc 0.8368 0.1632 0.0000

Calculated values
symmetry = No. 65
final energy = -77.12 eV/cell
formation energy from the elements = -0.327 eV/atom
distance to the lowest polymorph of the same formula = 10.9 meV per atom
DOS at the Fermi energy = 12.0 states/eV per cell

---

# 6
This record from Alexandria via LeMat-Bulk describes crystalline LaTm3Cd2 at its relaxed geometry. The functional is GGA-PBE.

Cell: 3.6743 3.6743 12.5378 Å, 90.00 90.00 90.00°
Fractional coordinates of all 6 atoms:
La 0.0000 0.0000 0.0000
Tm 0.5000 0.5000 0.2028
Tm 0.5000 0.5000 0.5000
Tm 0.5000 0.5000 0.7972
Cd 0.0000 0.0000 0.3515
Cd 0.0000 0.0000 0.6485

Calculated values
symmetry = No. 123
final energy = -21.34 eV/cell
formation energy from the elements = -0.194 eV/atom
distance to the lowest polymorph of the same formula = 0.0 meV per atom
DOS at the Fermi energy = 7.5 states/eV per cell

---

# 7
This record from Alexandria via LeMat-Bulk describes crystalline PmMgBiSb at its relaxed geometry. The functional is GGA-PBE.

Cell: 5.4275 5.4275 5.4275 Å, 60.00 60.00 60.00°
Fractional coordinates of all 4 atoms:
Pm 0.0000 0.0000 0.0000
Mg 0.5000 0.5000 0.5000
Bi 0.7500 0.7500 0.7500
Sb 0.2500 0.2500 0.2500

Calculated values
symmetry = No. 216
final energy = -15.96 eV/cell
DOS at the Fermi energy = 2.2 states/eV per cell

---

# 8
This record from Alexandria via LeMat-Bulk describes crystalline Tb8Pr6Dy at its relaxed geometry. The functional is GGA-PBE.

Cell: 8.7846 8.7846 8.7846 Å, 63.06 63.06 63.06°
Fractional coordinates of all 15 atoms:
Tb 0.0768 0.0768 0.0768
Tb 0.2169 0.2501 0.6124
Tb 0.2501 0.6124 0.2169
Tb 0.3876 0.7831 0.7499
Tb 0.6124 0.2169 0.2501
Tb 0.7499 0.3876 0.7831
Tb 0.7831 0.7499 0.3876
Tb 0.9232 0.9232 0.9232
Pr 0.0380 0.7304 0.6010
Pr 0.2696 0.3990 0.9620
Pr 0.3990 0.9620 0.2696
Pr 0.6010 0.0380 0.7304
Pr 0.7304 0.6010 0.0380
Pr 0.9620 0.2696 0.3990
Dy 0.5000 0.5000 0.5000

Calculated values
symmetry = No. 148
final energy = -68.58 eV/cell
formation energy from the elements = 0.116 eV/atom
distance to the lowest polymorph of the same formula = 0.0 meV per atom
DOS at the Fermi energy = 21.6 states/eV per cell

---

# 9
This record from Alexandria via LeMat-Bulk describes crystalline RbP2PbCl at its relaxed geometry. The functional is GGA-PBE.

Cell: 5.3966 5.3966 6.0662 Å, 90.00 90.00 90.00°
Fractional coordinates of all 5 atoms:
Rb 0.0000 0.0000 0.0000
P 0.0000 0.5000 0.5000
P 0.5000 0.0000 0.5000
Pb 0.5000 0.5000 0.5000
Cl 0.5000 0.5000 0.0000

Calculated values
symmetry = No. 123
final energy = -16.68 eV/cell
distance to the lowest polymorph of the same formula = 0.0 meV per atom
DOS at the Fermi energy = 3.6 states/eV per cell

---

# 10
This record from Alexandria via LeMat-Bulk describes crystalline RbReF4 at its relaxed geometry. The functional is GGA-PBE.

Cell: 8.2860 8.2860 3.9510 Å, 103.32 103.32 48.10°
Fractional coordinates of all 12 atoms:
Rb 0.1839 0.1839 0.2192
Rb 0.8161 0.8161 0.7808
Re 0.4467 0.4467 0.2250
Re 0.5533 0.5533 0.7750
F 0.1559 0.6050 0.3516
F 0.2610 0.7390 0.0000
F 0.3194 0.3194 0.8419
F 0.3950 0.8441 0.6484
F 0.6050 0.1559 0.3516
F 0.6806 0.6806 0.1581
F 0.7390 0.2610 0.0000
F 0.8441 0.3950 0.6484

Calculated values
symmetry = No. 12
final energy = -68.53 eV/cell

---

# 11
This record from Alexandria via LeMat-Bulk describes crystalline Li2YHo at its relaxed geometry. The functional is GGA-PBE.

Cell: 3.7050 3.7050 7.4061 Å, 90.00 90.00 90.00°
Fractional coordinates of all 4 atoms:
Li 0.0000 0.0000 0.2477
Li 0.0000 0.0000 0.7523
Y 0.5000 0.5000 0.5000
Ho 0.5000 0.5000 0.0000

Calculated values
symmetry = No. 123
final energy = -14.30 eV/cell
formation energy from the elements = 0.143 eV/atom
distance to the lowest polymorph of the same formula = 0.0 meV per atom
DOS at the Fermi energy = 3.8 states/eV per cell

---

# 12
This record from Alexandria via LeMat-Bulk describes crystalline PSeS2 at its relaxed geometry. The functional is GGA-PBE.

Cell: 4.5538 4.5538 4.5538 Å, 60.00 60.00 60.00°
Fractional coordinates of all 4 atoms:
P 0.0000 0.0000 0.0000
Se 0.5000 0.5000 0.5000
S 0.2500 0.2500 0.2500
S 0.7500 0.7500 0.7500

Calculated values
symmetry = No. 225
final energy = -13.68 eV/cell
distance to the lowest polymorph of the same formula = 685.9 meV per atom
DOS at the Fermi energy = 3.3 states/eV per cell

---

Look up the final energy of the ninth one.
-16.68 eV/cell

---

Which of these has the lowest final energy?
Ti3Zn2Tc

---

Among the records above, which one has the lowest final energy?
Ti3Zn2Tc